Entry 1:
{
  "formula": "AgP2PbS",
  "functional": "PBE",
  "state": "relaxed",
  "e_form_raw_ev_per_atom": 0.7582,
  "total_magnetization_mub_per_atom": 0.1986,
  "sg": "P4/mmm (123)",
  "lattice": [[4.809, 0.000, 0.000], [0.000, 4.809, 0.000], [0.000, 0.000, 5.111]],
  "species": ["Ag", "P", "P", "Pb", "S"],
  "frac_coords": [[0.000, 0.000, 0.000], [0.000, 0.500, 0.000], [0.500, 0.000, 0.000], [0.500, 0.500, 0.500], [0.000, 0.000, 0.500]]
}

---

Entry 2:
{
  "formula": "AgP2PbS",
  "functional": "PBE",
  "state": "relaxed",
  "e_form_raw_ev_per_atom": 1.4587,
  "total_magnetization_mub_per_atom": 0.0000,
  "sg": "P4/mmm (123)",
  "lattice": [[5.195, 0.000, 0.000], [0.000, 5.195, 0.000], [0.000, 0.000, 5.306]],
  "species": ["Ag", "P", "P", "Pb", "S"],
  "frac_coords": [[0.000, 0.000, 0.000], [0.000, 0.500, 0.500], [0.500, 0.000, 0.500], [0.000, 0.000, 0.500], [0.500, 0.500, 0.000]]
}

---

Entry 3:
{
  "formula": "AgP2PbS",
  "functional": "PBE",
  "state": "relaxed",
  "e_form_raw_ev_per_atom": 1.2586,
  "total_magnetization_mub_per_atom": 0.4748,
  "sg": "P4/mmm (123)",
  "lattice": [[5.300, 0.000, 0.000], [0.000, 5.300, 0.000], [0.000, 0.000, 5.308]],
  "species": ["Ag", "P", "P", "Pb", "S"],
  "frac_coords": [[0.000, 0.000, 0.000], [0.000, 0.500, 0.500], [0.500, 0.000, 0.500], [0.500, 0.500, 0.500], [0.500, 0.500, 0.000]]
}

---

Entry 4:
{
  "formula": "Ag2PPbS4",
  "functional": "PBE",
  "state": "relaxed",
  "e_form_raw_ev_per_atom": -0.1406,
  "total_magnetization_mub_per_atom": 0.0000,
  "sg": "I222 (23)",
  "lattice": [[-3.128, 3.140, 4.887], [3.128, -3.140, 4.887], [3.128, 3.140, -4.887]],
  "species": ["Ag", "Ag", "P", "Pb", "S", "S", "S", "S"],
  "frac_coords": [[0.248, 0.248, 0.000], [0.752, 0.752, 0.000], [0.500, 0.000, 0.500], [0.000, 0.500, 0.500], [0.182, 0.681, 0.102], [0.421, 0.319, 0.501], [0.579, 0.080, 0.898], [0.818, 0.920, 0.499]]
}

---

Entry 5:
{
  "formula": "AgSb2PPb",
  "functional": "PBE",
  "state": "relaxed",
  "e_form_raw_ev_per_atom": 1.2082,
  "total_magnetization_mub_per_atom": 0.0001,
  "sg": "P4/mmm (123)",
  "lattice": [[5.798, 0.000, 0.000], [0.000, 5.798, 0.000], [0.000, 0.000, 5.196]],
  "species": ["Ag", "Sb", "Sb", "P", "Pb"],
  "frac_coords": [[0.000, 0.000, 0.000], [0.000, 0.500, 0.500], [0.500, 0.000, 0.500], [0.500, 0.500, 0.000], [0.500, 0.500, 0.500]]
}

---

Entry 6:
{
  "formula": "Ag2PPd2",
  "functional": "PBE",
  "state": "relaxed",
  "total_magnetization_mub_per_atom": 0.0000,
  "e_form_ev_per_atom": -0.103,
  "sg": "P4/mbm (127)",
  "lattice": [[6.138, 0.000, 0.000], [0.000, 6.138, 0.000], [0.000, 0.000, 4.571]],
  "species": ["Ag", "Ag", "Ag", "Ag", "P", "P", "Pd", "Pd", "Pd", "Pd"],
  "frac_coords": [[0.160, 0.340, 0.000], [0.340, 0.840, 0.000], [0.660, 0.160, 0.000], [0.840, 0.660, 0.000], [0.000, 0.000, 0.500], [0.500, 0.500, 0.500], [0.160, 0.660, 0.500], [0.340, 0.160, 0.500], [0.660, 0.840, 0.500], [0.840, 0.340, 0.500]]
}